Below is a relaxed structure of SrHo6S8, with properties calculated at the PBE-GGA level.

a b c (Å): 11.1891 11.1891 12.0994
angles (deg): 90.00 90.00 120.00
With the nearest neighbours (Å) after each atom.
Space group R-3 (No. 148, hexagonal axes)
One atom of each set of equivalent atoms:
Sr (0.0000, 0.0000, 0.0000)  2 S 2.87
Ho (0.0073, 0.1890, 0.3799)  5 S 2.65-2.83
S (0.0000, 0.0000, 0.2372)  3 Ho 2.70, 1 Sr 2.87
S (0.0214, 0.2871, 0.5903)  4 Ho 2.65-2.83

Properties
**DOS at the Fermi energy**: 7.715 states/eV/f.u.
**Uncorrected energy**: -5.92 eV/atom
**Formation energy without anion corrections**: -1.78 eV per atom